[1]
! Dy2Zn16Si, optimized geometry, DFT PBE; values from VASP
&SYSTEM
  ibrav = 0, nat = 19, ntyp = 3
/
ATOMIC_SPECIES
Zn 65.41 Zn.upf
Si 28.09 Si.upf
Dy 162.50 Dy.upf
ATOMIC_POSITIONS angstrom
Zn 0.778 -2.289 -4.765
Zn -2.319 0.327 -2.395
Zn -1.605 -2.888 0.551
Zn -2.275 -0.598 -4.798
Zn -1.509 -2.840 -6.016
Zn -0.801 -6.024 -3.098
Zn -1.263 -5.155 -0.623
Zn -3.932 -2.679 -5.257
Zn -0.436 -0.802 -0.769
Zn -0.098 -4.802 -5.217
Zn 1.227 -4.306 -2.917
Zn -4.252 -1.273 -2.975
Zn -3.688 -3.812 -0.648
Zn -4.629 -3.905 -3.139
Zn -3.224 -5.868 -2.335
Zn 1.546 -1.813 -2.354
Si -4.243 -7.809 -7.493
Dy -3.164 -5.822 -5.587
Dy -1.579 -2.906 -2.789
CELL_PARAMETERS angstrom
-4.701 0.753 -4.821
3.211 -3.627 -4.737
-3.239 -5.827 1.208
! Fermi-level density of states in states/eV/atom: 0.40
! E_tot in eV/atom: -2.04
! Symmetry: R3m, No. 160
! Raw formation energy in kJ per mole of atoms: -19


[2]
! Ag3HgCl2F6, optimized geometry, DFT PBE; values from VASP
&SYSTEM
  ibrav = 0, nat = 12, ntyp = 4
/
ATOMIC_SPECIES
F 19.00 F.upf
Ag 107.87 Ag.upf
Cl 35.45 Cl.upf
Hg 200.59 Hg.upf
ATOMIC_POSITIONS angstrom
F 3.885 -4.341 2.120
F 3.091 -5.261 -1.099
F 0.839 -2.712 0.568
F -2.719 -4.581 -3.503
F 0.327 -6.210 -1.950
F -1.924 -3.661 -0.284
Ag 1.370 -3.550 2.498
Ag -0.787 -0.911 -3.189
Ag 0.583 -4.461 -0.691
Cl 0.963 -5.723 1.397
Cl 0.204 -3.200 -2.780
Hg -1.453 -1.782 0.868
CELL_PARAMETERS angstrom
-2.906 -3.563 1.735
-1.574 -1.822 -6.378
5.647 -3.536 3.260
! Fermi-level density of states in states/eV/atom: 0.68
! E_tot in eV/atom: -2.93
! Symmetry: C2/m, No. 12
! Raw formation energy in kJ per mole of atoms: -92


[3]
! Ca2NiPb, optimized geometry, DFT PBE; values from VASP
&SYSTEM
  ibrav = 0, nat = 4, ntyp = 3
/
ATOMIC_SPECIES
Pb 207.20 Pb.upf
Ni 58.69 Ni.upf
Ca 40.08 Ca.upf
ATOMIC_POSITIONS angstrom
Pb 1.457 -2.859 0.057
Ni -2.166 -2.356 0.242
Ca -0.497 -2.665 -2.482
Ca 0.000 0.000 0.000
CELL_PARAMETERS angstrom
-4.121 -2.162 -2.296
3.127 -3.169 -2.667
-0.212 -2.550 2.781
! Fermi-level density of states in states/eV/atom: 0.71
! E_tot in eV/atom: -3.53
! Symmetry: Cmmm, No. 65
! Energy relative to the elements in meV per atom: -160.3


Please write out number 3 again, unchanged.
! Ca2NiPb, optimized geometry, DFT PBE; values from VASP
&SYSTEM
  ibrav = 0, nat = 4, ntyp = 3
/
ATOMIC_SPECIES
Pb 207.20 Pb.upf
Ni 58.69 Ni.upf
Ca 40.08 Ca.upf
ATOMIC_POSITIONS angstrom
Pb 1.457 -2.859 0.057
Ni -2.166 -2.356 0.242
Ca -0.497 -2.665 -2.482
Ca 0.000 0.000 0.000
CELL_PARAMETERS angstrom
-4.121 -2.162 -2.296
3.127 -3.169 -2.667
-0.212 -2.550 2.781
! Fermi-level density of states in states/eV/atom: 0.71
! E_tot in eV/atom: -3.53
! Symmetry: Cmmm, No. 65
! Energy relative to the elements in meV per atom: -160.3